# 1
First-principles (PBE) data for a relaxed structure of KMgCd, as listed in Alexandria.

a = 5.710 Å, b = 5.710 Å, c = 5.710 Å
α = 60.00°, β = 60.00°, γ = 60.00°
Fractional coordinates of all 3 atoms:
K  0.000  0.000  0.000
Mg  0.250  0.250  0.250
Cd  0.750  0.750  0.750

Properties
**Magnetic moment**: 0.0 μB/cell
**Theoretical density**: 2.217 g/cm3
**VASP energy**: -0.8026 eV per atom
**ΔH_f (0 K)**: 0.40 eV/atom
**V**: 43.89 A^3/atom

# 2
First-principles (PBE) data for a relaxed structure of Ba2MgHg10, as listed in Alexandria.

a = 11.003 Å, b = 13.499 Å, c = 6.056 Å
α = 90.00°, β = 90.00°, γ = 90.00°
Fractional coordinates of all 26 atoms:
Ba  0.142  0.160  0.000
Ba  0.358  0.660  0.000
Ba  0.642  0.340  0.000
Ba  0.858  0.840  0.000
Mg  0.000  0.500  0.500
Mg  0.500  0.000  0.500
Hg  0.026  0.885  0.500
Hg  0.068  0.677  0.245
Hg  0.068  0.677  0.755
Hg  0.201  0.311  0.500
Hg  0.237  0.031  0.500
Hg  0.263  0.531  0.500
Hg  0.299  0.811  0.500
Hg  0.432  0.177  0.245
Hg  0.432  0.177  0.755
Hg  0.474  0.385  0.500
Hg  0.526  0.615  0.500
Hg  0.568  0.823  0.245
Hg  0.568  0.823  0.755
Hg  0.701  0.189  0.500
Hg  0.737  0.469  0.500
Hg  0.763  0.969  0.500
Hg  0.799  0.689  0.500
Hg  0.932  0.323  0.245
Hg  0.932  0.323  0.755
Hg  0.974  0.115  0.500

Properties
**Magnetic moment**: 0.0 μB/cell
**Theoretical density**: 8.511 g/cm3
**VASP energy**: -0.8113 eV per atom
**ΔH_f (0 K)**: -0.16 eV/atom
**V**: 34.59 A^3/atom